1.
Na3Au | GGA-PBE | optimized geometry

Cell lengths 12.1435, 12.1435, 6.0299 Å; angles 90.00, 90.00, 90.00 degrees
Space group P4_2/n (No. 86, origin choice 2)
Asymmetric unit:
Na (0.0254, 0.5754, 0.2371) [8 per cell]
Na (0.1146, 0.2200, 0.0200) [8 per cell]
Na (0.1362, 0.6669, 0.7313) [8 per cell]
Au (0.0386, 0.2081, 0.5219) [8 per cell]

Results
energy relative to the elements = -0.8 eV per formula unit

2.
PaZn4Mo | GGA-PBE | optimized geometry

Cell lengths 7.3613, 7.3613, 7.3613 Å; angles 90.00, 90.00, 90.00 degrees
Space group F-43m (No. 216)
Asymmetric unit:
Pa (0.0000, 0.0000, 0.0000) [4 per cell]
Zn (0.1238, 0.1238, 0.6238) [16 per cell]
Mo (0.2500, 0.2500, 0.2500) [4 per cell]

Results
energy relative to the elements = -0.2 eV per formula unit

3.
EuYO | GGA-PBE | optimized geometry

Cell lengths 3.5941, 3.5941, 6.0563 Å; angles 90.00, 90.00, 120.00 degrees
Space group P3m1 (No. 156)
Asymmetric unit:
Eu (0.0000, 0.0000, 0.0000) [1 per cell]
Y (0.6667, 0.3333, 0.5336) [1 per cell]
O (0.3333, 0.6667, 0.7339) [1 per cell]

Results
energy relative to the elements, uncorrected = -5.194 eV/f.u.

4.
YCuC3 | GGA-PBE | optimized geometry

Cell lengths 3.9134, 3.9134, 3.9134 Å; angles 90.00, 90.00, 90.00 degrees
Space group Pm-3m (No. 221)
Asymmetric unit:
Y (0.0000, 0.0000, 0.0000) [1 per cell]
Cu (0.5000, 0.5000, 0.5000) [1 per cell]
C (0.0000, 0.5000, 0.5000) [3 per cell]

Results
energy relative to the elements = 8.2 eV per formula unit
energy relative to the lowest polymorph listed for this composition = 0.0 meV per atom

no.,uncorrected energy (eV/cell)
1,-64.563
2,-102.294
3,-26.891
4,-30.054